Compound: Dy2TiAl2Co5
Source: Alexandria
Functional: GGA-PBE
Structure: optimized geometry

a b c (Å): 9.658 9.658 3.217
angles (deg): 90.00 90.00 90.00
Atoms (fractional coordinates):
Dy: 0.173 0.327 0.000
Dy: 0.327 0.827 0.000
Dy: 0.673 0.173 0.000
Dy: 0.827 0.673 0.000
Ti: 0.000 0.000 0.000
Ti: 0.500 0.500 0.000
Al: 0.125 0.625 0.000
Al: 0.375 0.125 0.000
Al: 0.625 0.875 0.000
Al: 0.875 0.375 0.000
Co: 0.000 0.500 0.500
Co: 0.062 0.800 0.500
Co: 0.200 0.062 0.500
Co: 0.300 0.562 0.500
Co: 0.438 0.300 0.500
Co: 0.500 0.000 0.500
Co: 0.562 0.700 0.500
Co: 0.700 0.438 0.500
Co: 0.800 0.938 0.500
Co: 0.938 0.200 0.500

Properties
The total DFT energy (no corrections) is -0.2306 hartree per atom. The density of states at the Fermi level is 10.32 states/eV/cell. The calculation puts the formation energy at -2.65 eV/f.u.

=====

Compound: DyAlZnCo
Source: Alexandria
Functional: GGA-PBE
Structure: optimized geometry

a b c (Å): 4.563 4.563 4.563
angles (deg): 60.00 60.00 60.00
Atoms (fractional coordinates):
Dy: 0.000 0.000 0.000
Al: 0.500 0.500 0.500
Zn: 0.250 0.250 0.250
Co: 0.750 0.750 0.750

Properties
The total DFT energy (no corrections) is -0.1623 hartree per atom. The density of states at the Fermi level is 2.69 states/eV/cell. The calculation puts the formation energy at -0.94 eV/f.u.

=====

Compound: ErAl2Co
Source: Alexandria
Functional: GGA-PBE
Structure: optimized geometry

a b c (Å): 14.523 7.028 5.423
angles (deg): 90.00 90.00 90.00
Atoms (fractional coordinates):
Er: 0.101 0.250 0.240
Er: 0.135 0.750 0.035
Er: 0.365 0.250 0.535
Er: 0.399 0.750 0.740
Er: 0.601 0.250 0.260
Er: 0.635 0.750 0.465
Er: 0.865 0.250 0.965
Er: 0.899 0.750 0.760
Al: 0.044 0.059 0.724
Al: 0.044 0.441 0.724
Al: 0.212 0.551 0.547
Al: 0.212 0.949 0.547
Al: 0.288 0.051 0.047
Al: 0.288 0.449 0.047
Al: 0.456 0.559 0.224
Al: 0.456 0.941 0.224
Al: 0.544 0.059 0.776
Al: 0.544 0.441 0.776
Al: 0.712 0.551 0.953
Al: 0.712 0.949 0.953
Al: 0.788 0.051 0.453
Al: 0.788 0.449 0.453
Al: 0.956 0.559 0.276
Al: 0.956 0.941 0.276
Co: 0.073 0.750 0.512
Co: 0.191 0.250 0.778
Co: 0.309 0.750 0.278
Co: 0.427 0.250 0.012
Co: 0.573 0.750 0.988
Co: 0.691 0.250 0.722
Co: 0.809 0.750 0.222
Co: 0.927 0.250 0.488

Properties
The total DFT energy (no corrections) is -0.1963 hartree per atom. The density of states at the Fermi level is 17.65 states/eV/cell. The calculation puts the formation energy at -2.21 eV/f.u.

=====

Compound: Er3Al5Co2
Source: Alexandria
Functional: GGA-PBE
Structure: optimized geometry

a b c (Å): 9.462 9.462 4.071
angles (deg): 90.00 90.00 90.00
Atoms (fractional coordinates):
Er: 0.000 0.000 0.000
Er: 0.176 0.324 0.000
Er: 0.324 0.824 0.000
Er: 0.500 0.500 0.000
Er: 0.676 0.176 0.000
Er: 0.824 0.676 0.000
Al: 0.000 0.500 0.500
Al: 0.069 0.774 0.500
Al: 0.226 0.069 0.500
Al: 0.274 0.569 0.500
Al: 0.431 0.274 0.500
Al: 0.500 0.000 0.500
Al: 0.569 0.726 0.500
Al: 0.726 0.431 0.500
Al: 0.774 0.931 0.500
Al: 0.931 0.226 0.500
Co: 0.116 0.616 0.000
Co: 0.384 0.116 0.000
Co: 0.616 0.884 0.000
Co: 0.884 0.384 0.000

Properties
The total DFT energy (no corrections) is -0.1905 hartree per atom. The density of states at the Fermi level is 11.30 states/eV/cell. The calculation puts the formation energy at -5.24 eV/f.u.

=====

Compound: Er7Al2Co2
Source: Alexandria
Functional: GGA-PBE
Structure: optimized geometry

a b c (Å): 6.595 6.595 6.793
angles (deg): 90.00 90.00 109.14
Atoms (fractional coordinates):
Er: 0.000 0.000 0.000
Er: 0.000 0.500 0.250
Er: 0.000 0.500 0.750
Er: 0.500 0.000 0.250
Er: 0.500 0.000 0.750
Er: 0.500 0.500 0.242
Er: 0.500 0.500 0.758
Al: 0.169 0.169 0.500
Al: 0.831 0.831 0.500
Co: 0.293 0.707 0.000
Co: 0.707 0.293 0.000

Properties
The total DFT energy (no corrections) is -0.1844 hartree per atom. The density of states at the Fermi level is 10.89 states/eV/cell. The calculation puts the formation energy at -1.54 eV/f.u.

=====

Compound: ErAl8Co4
Source: Alexandria
Functional: GGA-PBE
Structure: optimized geometry

a b c (Å): 6.538 6.538 6.538
angles (deg): 98.76 98.76 134.07
Atoms (fractional coordinates):
Er: 0.000 0.000 0.000
Al: 0.000 0.339 0.339
Al: 0.000 0.661 0.661
Al: 0.278 0.500 0.778
Al: 0.339 0.000 0.339
Al: 0.500 0.278 0.778
Al: 0.500 0.722 0.222
Al: 0.661 0.000 0.661
Al: 0.722 0.500 0.222
Co: 0.000 0.000 0.500
Co: 0.000 0.500 0.000
Co: 0.500 0.000 0.000
Co: 0.500 0.500 0.500

Properties
The total DFT energy (no corrections) is -0.1969 hartree per atom. The density of states at the Fermi level is 10.26 states/eV/cell. The calculation puts the formation energy at -6.74 eV/f.u.

=====

Compound: ErAl2Co
Source: Alexandria
Functional: GGA-PBE
Structure: optimized geometry

a b c (Å): 3.037 3.037 7.245
angles (deg): 90.00 90.00 90.00
Atoms (fractional coordinates):
Er: 0.000 0.000 0.000
Al: 0.500 0.500 0.315
Al: 0.500 0.500 0.685
Co: 0.000 0.000 0.500

Properties
The total DFT energy (no corrections) is -0.1901 hartree per atom. The density of states at the Fermi level is 2.57 states/eV/cell. The calculation puts the formation energy at -1.54 eV/f.u.

=====

Compound: Er4AlCo
Source: Alexandria
Functional: GGA-PBE
Structure: optimized geometry

a b c (Å): 7.585 7.585 5.870
angles (deg): 99.65 99.65 111.65
Atoms (fractional coordinates):
Er: 0.057 0.725 0.954
Er: 0.210 0.367 0.609
Er: 0.275 0.943 0.546
Er: 0.367 0.210 0.109
Er: 0.633 0.790 0.891
Er: 0.725 0.057 0.454
Er: 0.790 0.633 0.391
Er: 0.943 0.275 0.046
Al: 0.376 0.624 0.250
Al: 0.624 0.376 0.750
Co: 0.001 0.999 0.750
Co: 0.999 0.001 0.250

Properties
The total DFT energy (no corrections) is -0.1866 hartree per atom. The density of states at the Fermi level is 10.28 states/eV/cell. The energy above the lowest structure with this stoichiometry comes out at 0.0743 eV/atom. The calculation puts the formation energy at -1.36 eV/f.u.

=====

Compound: Er2AlCo3
Source: Alexandria
Functional: GGA-PBE
Structure: optimized geometry

a b c (Å): 5.249 5.249 7.911
angles (deg): 90.00 90.00 120.00
Atoms (fractional coordinates):
Er: 0.333 0.667 0.063
Er: 0.333 0.667 0.437
Er: 0.667 0.333 0.563
Er: 0.667 0.333 0.937
Al: 0.000 0.000 0.000
Al: 0.000 0.000 0.500
Co: 0.173 0.347 0.750
Co: 0.173 0.827 0.750
Co: 0.347 0.173 0.250
Co: 0.653 0.827 0.750
Co: 0.827 0.173 0.250
Co: 0.827 0.653 0.250

Properties
The total DFT energy (no corrections) is -0.2224 hartree per atom. The density of states at the Fermi level is 17.21 states/eV/cell. The energy above the lowest structure with this stoichiometry comes out at 0.0000 eV/atom. The calculation puts the formation energy at -2.12 eV/f.u.

=====

Compound: Er6Al2Co
Source: Alexandria
Functional: GGA-PBE
Structure: optimized geometry

a b c (Å): 6.747 7.004 12.113
angles (deg): 90.00 123.70 90.00
Atoms (fractional coordinates):
Er: 0.162 0.199 0.471
Er: 0.162 0.301 0.971
Er: 0.271 0.693 0.468
Er: 0.271 0.807 0.968
Er: 0.319 0.000 0.249
Er: 0.319 0.500 0.749
Er: 0.681 0.000 0.751
Er: 0.681 0.500 0.251
Er: 0.729 0.193 0.032
Er: 0.729 0.307 0.532
Er: 0.838 0.699 0.029
Er: 0.838 0.801 0.529
Al: 0.219 0.064 0.750
Al: 0.219 0.436 0.250
Al: 0.781 0.564 0.750
Al: 0.781 0.936 0.250
Co: 0.500 0.000 0.500
Co: 0.500 0.500 0.000

Properties
The total DFT energy (no corrections) is -0.1770 hartree per atom. The density of states at the Fermi level is 16.43 states/eV/cell. The calculation puts the formation energy at -1.39 eV/f.u.